[1]
Material: ZnP2Au
Method: DFT, PBE
State: optimized geometry

Results
Formation energy from the elements = -0.19 eV/f.u.
Calculated volume = 147.8 Å³ per cell

Unit cell a=10.748 b=3.293 c=4.565 alpha=90.00 beta=113.86 gamma=90.00
Space group C2/m (No. 12)
Asymmetric unit:
Zn  0.000  0.000  0.000
P  0.244  0.500  0.831
Au  0.000  0.500  0.500

[2]
Material: Zn2PAu
Method: DFT, PBE
State: optimized geometry

Results
Formation energy from the elements = 0.14 eV/f.u.
Calculated volume = 210.9 Å³ per cell

Unit cell a=3.6016 b=3.6016 c=18.7747 alpha=90.00 beta=90.00 gamma=120.00
Space group R-3m (No. 166, hexagonal axes)
Asymmetric unit:
Zn  0.0000  0.0000  0.2404
P  0.0000  0.0000  0.5000
Au  0.0000  0.0000  0.0000

[3]
Material: Zn2PAu
Method: DFT, PBE
State: optimized geometry

Results
Formation energy from the elements = 0.73 eV/f.u.
Calculated volume = 197.8 Å³ per cell

Unit cell a=3.1235 b=3.1235 c=23.4132 alpha=90.00 beta=90.00 gamma=120.00
Space group R3m (No. 160, hexagonal axes)
Asymmetric unit:
Zn  0.0000  0.0000  0.0000
Zn  0.0000  0.0000  0.2507
P  0.0000  0.0000  0.5032
Au  0.0000  0.0000  0.7550

[4]
Material: Zn2PAu
Method: DFT, PBE
State: optimized geometry

Results
Formation energy from the elements = 0.04 eV/f.u.
Calculated volume = 367.3 Å³ per cell

Unit cell a=5.600 b=5.600 c=11.714 alpha=90.00 beta=90.00 gamma=90.00
Space group I-42d (No. 122)
Asymmetric unit:
Zn  0.198  0.250  0.125
P  0.000  0.000  0.000
Au  0.000  0.000  0.500

Q: Which of these has the lowest calculated volume?
A: ZnP2Au